# Rb2OsI6F (PBE, relaxed)
data_Rb2OsI6F
_chemical_formula_sum 'Rb2 Os1 I6 F1'
_space_group_name_H-M_alt 'P 1'
_space_group_IT_number 1
_cell_length_a 8.063
_cell_length_b 8.063
_cell_length_c 8.063
_cell_angle_alpha 121.15
_cell_angle_beta 121.15
_cell_angle_gamma 88.03
loop_
_space_group_symop_operation_xyz
'x,y,z'
loop_
_atom_site_label
_atom_site_fract_x
_atom_site_fract_y
_atom_site_fract_z
Rb1 0.250 0.750 0.500
Rb2 0.750 0.250 0.500
Os1 0.000 0.000 0.000
I1 0.235 0.235 0.000
I2 0.243 0.243 0.487
I3 0.243 0.757 0.000
I4 0.757 0.243 0.000
I5 0.757 0.757 0.513
I6 0.765 0.765 0.000
F1 0.500 0.500 0.000
# DOS at the Fermi energy ... 0.178 states/eV/cell
# Theoretical density ... 5.21 g/cm³
# Formation energy from raw total energies ... -0.63 eV per atom
# Total DFT energy (no corrections) ... -3.06 eV/atom